Entry 1:
! NbGe2 PBE-GGA relaxed; values from VASP
&SYSTEM
  ibrav = 0, nat = 9, ntyp = 2
/
ATOMIC_SPECIES
Ge 72.64 Ge.upf
Nb 92.91 Nb.upf
CELL_PARAMETERS angstrom
-0.7053 4.3284 -2.4203
-1.5735 -4.2956 -2.0403
-6.0521 0.7457 3.0973
ATOMIC_POSITIONS crystal
Ge 0.1643 0.8357 0.0000
Ge 0.8357 0.1643 0.0000
Ge 0.6715 0.8357 0.6667
Ge 0.3285 0.1643 0.6667
Ge 0.8357 0.6714 0.3333
Ge 0.1643 0.3286 0.3333
Nb 0.0000 0.5000 0.6667
Nb 0.5000 0.0000 0.3333
Nb 0.5000 0.5000 0.0000
! ΔH_f (0 K) ... -357.6 meV per atom
! Crystal system ... hexagonal
! SG ... P6_422, No. 181

=====

Entry 2:
! NbGe PBE-GGA relaxed; values from VASP
&SYSTEM
  ibrav = 0, nat = 8, ntyp = 2
/
ATOMIC_SPECIES
Nb 92.91 Nb.upf
Ge 72.64 Ge.upf
CELL_PARAMETERS angstrom
5.8647 0.0000 0.0000
0.0000 5.8647 0.0000
0.0000 0.0000 5.8647
ATOMIC_POSITIONS crystal
Nb 0.5000 0.5000 0.0000
Nb 0.0000 0.5000 0.5000
Nb 0.5000 0.0000 0.5000
Nb 0.0000 0.0000 0.0000
Ge 0.7500 0.7500 0.2500
Ge 0.2500 0.7500 0.7500
Ge 0.7500 0.2500 0.7500
Ge 0.2500 0.2500 0.2500
! ΔH_f (0 K) ... 847.9 meV per atom
! Crystal system ... cubic
! SG ... F-43m, No. 216

=====

> Among the records above, which one has the lowest ΔH_f (0 K)?

NbGe2

=====

> What is the ΔH_f (0 K) in the second record?

847.9 meV per atom

=====

Please write out number 1 again, unchanged.
! NbGe2 PBE-GGA relaxed; values from VASP
&SYSTEM
  ibrav = 0, nat = 9, ntyp = 2
/
ATOMIC_SPECIES
Ge 72.64 Ge.upf
Nb 92.91 Nb.upf
CELL_PARAMETERS angstrom
-0.7053 4.3284 -2.4203
-1.5735 -4.2956 -2.0403
-6.0521 0.7457 3.0973
ATOMIC_POSITIONS crystal
Ge 0.1643 0.8357 0.0000
Ge 0.8357 0.1643 0.0000
Ge 0.6715 0.8357 0.6667
Ge 0.3285 0.1643 0.6667
Ge 0.8357 0.6714 0.3333
Ge 0.1643 0.3286 0.3333
Nb 0.0000 0.5000 0.6667
Nb 0.5000 0.0000 0.3333
Nb 0.5000 0.5000 0.0000
! ΔH_f (0 K) ... -357.6 meV per atom
! Crystal system ... hexagonal
! SG ... P6_422, No. 181

=====

What did the first record say?
! NbGe2 PBE-GGA relaxed; values from VASP
&SYSTEM
  ibrav = 0, nat = 9, ntyp = 2
/
ATOMIC_SPECIES
Ge 72.64 Ge.upf
Nb 92.91 Nb.upf
CELL_PARAMETERS angstrom
-0.7053 4.3284 -2.4203
-1.5735 -4.2956 -2.0403
-6.0521 0.7457 3.0973
ATOMIC_POSITIONS crystal
Ge 0.1643 0.8357 0.0000
Ge 0.8357 0.1643 0.0000
Ge 0.6715 0.8357 0.6667
Ge 0.3285 0.1643 0.6667
Ge 0.8357 0.6714 0.3333
Ge 0.1643 0.3286 0.3333
Nb 0.0000 0.5000 0.6667
Nb 0.5000 0.0000 0.3333
Nb 0.5000 0.5000 0.0000
! ΔH_f (0 K) ... -357.6 meV per atom
! Crystal system ... hexagonal
! SG ... P6_422, No. 181